1.
A plane-wave DFT calculation with PBE was carried out for Ce4PrSe7 after structural relaxation.

ΔE_f (raw)	-1810	meV per atom
V	28.93	Å³ per atom
symmetry	Cm

Structure (POSCAR):
```
Ce4PrSe7
1.0
-2.665 -2.646 1.722
6.547 -3.174 0.297
-0.453 7.108 10.220
Se Ce Pr
7 4 1
Direct
0.043 0.086 0.786
0.259 0.518 0.650
0.500 0.001 0.498
0.659 0.318 0.051
0.958 0.916 0.215
0.737 0.475 0.349
0.342 0.685 0.949
0.301 0.602 0.189
0.001 0.001 0.001
0.114 0.229 0.422
0.700 0.399 0.811
0.885 0.771 0.578
```



2.
A plane-wave DFT calculation with PBE was carried out for CePrSiSe after structural relaxation.

ΔE_f (raw)	-1251	meV per atom
V	27.27	Å³ per atom
symmetry	R3m

Structure (POSCAR):
```
CePrSiSe
1.0
4.247 0.000 0.000
2.124 3.678 0.000
2.124 1.226 6.981
Pr Ce Si Se
1 1 1 1
Direct
0.697 0.697 0.909
0.191 0.191 0.428
0.447 0.447 0.658
0.942 0.942 0.175
```



3.
A plane-wave DFT calculation with PBE was carried out for Ce2PrSm3Se6 after structural relaxation.

ΔE_f (raw)	-1831	meV per atom
V	26.16	Å³ per atom
symmetry	C2/m

Structure (POSCAR):
```
Ce2PrSm3Se6
1.0
7.257 -0.004 0.000
-3.630 6.283 0.000
-1.210 -2.095 6.888
Sm Se Ce Pr
3 6 2 1
Direct
0.163 0.837 0.500
0.500 0.500 0.500
0.837 0.163 0.500
0.422 0.085 0.256
0.578 0.915 0.744
0.085 0.422 0.256
0.253 0.253 0.748
0.915 0.578 0.744
0.747 0.747 0.252
0.667 0.333 0.000
0.333 0.667 0.000
0.000 0.000 0.000
```



4.
A plane-wave DFT calculation with PBE was carried out for CePr2SmSe4 after structural relaxation.

ΔE_f (raw)	-1837	meV per atom
V	26.69	Å³ per atom
symmetry	P2/m

Structure (POSCAR):
```
CePr2SmSe4
1.0
4.201 0.000 0.000
0.000 7.333 -0.166
0.000 2.562 6.873
Se Pr Sm Ce
4 2 1 1
Direct
0.500 0.257 0.747
0.500 0.743 0.253
0.000 0.744 0.751
0.000 0.256 0.249
0.000 0.000 0.000
0.500 0.000 0.500
0.000 0.500 0.500
0.500 0.500 0.000
```



> Which of these has the lowest V?

Ce2PrSm3Se6



> The lowest ΔE_f (raw) belongs to which entry?

CePr2SmSe4



> What is the V in the first record?

28.93 Å³ per atom